TaMn2Rh | PBE | optimized geometry

CIF file:
```
data_TaMn2Rh
_cell_length_a 6.1009
_cell_length_b 6.1009
_cell_length_c 6.1009
_cell_angle_alpha 90.00
_cell_angle_beta 90.00
_cell_angle_gamma 90.00
_symmetry_space_group_name_H-M 'F -4 3 m'
_symmetry_Int_Tables_number 216
_symmetry_space_group_name_Hall 'F -4 2 3'
loop_
_atom_site_label
_atom_site_type_symbol
_atom_site_fract_x
_atom_site_fract_y
_atom_site_fract_z
Ta1 Ta 0.0000 0.0000 0.0000
Mn1 Mn 0.0000 0.0000 0.5000
Mn2 Mn 0.2500 0.2500 0.2500
Rh1 Rh 0.2500 0.2500 0.7500
```

Properties
- uncorrected energy (eV per atom) = -9.52
- size of the total moment (μB/atom) = 0.9801

TaMn2Rh | PBE | optimized geometry

CIF file:
```
data_TaMn2Rh
_cell_length_a 2.8209
_cell_length_b 2.8209
_cell_length_c 25.8900
_cell_angle_alpha 90.00
_cell_angle_beta 90.00
_cell_angle_gamma 120.00
_symmetry_space_group_name_H-M 'R -3 m'
_symmetry_Int_Tables_number 166
_symmetry_space_group_name_Hall '-R 3 2"'
loop_
_atom_site_label
_atom_site_type_symbol
_atom_site_fract_x
_atom_site_fract_y
_atom_site_fract_z
Ta1 Ta 0.0000 0.0000 0.0000
Mn1 Mn 0.0000 0.0000 0.2462
Rh1 Rh 0.0000 0.0000 0.5000
```

Properties
- uncorrected energy (eV per atom) = -9.21
- size of the total moment (μB/atom) = 1.4192

TaMnRh3 | PBE | optimized geometry

CIF file:
```
data_TaMnRh3
_cell_length_a 4.7075
_cell_length_b 4.7075
_cell_length_c 4.7075
_cell_angle_alpha 90.00
_cell_angle_beta 90.00
_cell_angle_gamma 90.00
_symmetry_space_group_name_H-M 'P m -3 m'
_symmetry_Int_Tables_number 221
_symmetry_space_group_name_Hall '-P 4 2 3'
loop_
_atom_site_label
_atom_site_type_symbol
_atom_site_fract_x
_atom_site_fract_y
_atom_site_fract_z
Ta1 Ta 0.0000 0.0000 0.0000
Mn1 Mn 0.5000 0.5000 0.5000
Rh1 Rh 0.0000 0.0000 0.5000
```

Properties
- uncorrected energy (eV per atom) = -7.76
- size of the total moment (μB/atom) = 0.9888

What did the first record say?
TaMn2Rh | PBE | optimized geometry

CIF file:
```
data_TaMn2Rh
_cell_length_a 6.1009
_cell_length_b 6.1009
_cell_length_c 6.1009
_cell_angle_alpha 90.00
_cell_angle_beta 90.00
_cell_angle_gamma 90.00
_symmetry_space_group_name_H-M 'F -4 3 m'
_symmetry_Int_Tables_number 216
_symmetry_space_group_name_Hall 'F -4 2 3'
loop_
_atom_site_label
_atom_site_type_symbol
_atom_site_fract_x
_atom_site_fract_y
_atom_site_fract_z
Ta1 Ta 0.0000 0.0000 0.0000
Mn1 Mn 0.0000 0.0000 0.5000
Mn2 Mn 0.2500 0.2500 0.2500
Rh1 Rh 0.2500 0.2500 0.7500
```

Properties
- uncorrected energy (eV per atom) = -9.52
- size of the total moment (μB/atom) = 0.9801

Which value of size of the total moment does entry 1 give?
0.9801 μB/atom

Look up the uncorrected energy of the second one.
-9.21 eV per atom

Which value of uncorrected energy does entry 3 give?
-7.76 eV per atom